{"formula": "YCrFe2", "functional": "PBE", "state": "relaxed", "relative_energy_ev_per_atom": 0.370, "rho_g_cm3": 6.327, "e_form_mev_per_atom": 513, "lattice_angstrom": [[-0.214, -4.034, -0.947], [3.745, -0.505, 1.304], [-1.383, -0.788, 3.667]], "species": ["Cr", "Fe", "Fe", "Y"], "fractional_positions": [[0.500, 0.000, 0.500], [0.000, 0.000, 0.000], [0.000, 0.500, 0.500], [0.500, 0.500, 0.000]]}

***

{"formula": "YCrFe2", "functional": "PBE", "state": "relaxed", "relative_energy_ev_per_atom": 0.108, "rho_g_cm3": 6.923, "e_form_mev_per_atom": 252, "lattice_angstrom": [[2.994, 0.000, 0.000], [0.000, 2.988, -0.031], [0.000, 3.056, 6.741]], "species": ["Cr", "Fe", "Fe", "Y"], "fractional_positions": [[0.500, 0.750, 0.750], [0.000, 0.067, 0.932], [0.000, 0.433, 0.568], [0.500, 0.250, 0.250]]}

***

{"formula": "YCrFe2", "functional": "PBE", "state": "relaxed", "relative_energy_ev_per_atom": 0.339, "rho_g_cm3": 6.680, "e_form_mev_per_atom": 482, "lattice_angstrom": [[5.142, -0.005, 0.005], [2.130, 4.680, -0.005], [-3.110, -3.156, 2.610]], "species": ["Cr", "Fe", "Fe", "Y"], "fractional_positions": [[0.250, 0.750, 0.500], [0.025, 0.025, 0.000], [0.475, 0.475, 0.000], [0.750, 0.250, 0.500]]}

***

{"formula": "YCr3Fe", "functional": "PBE", "state": "relaxed", "relative_energy_ev_per_atom": 0.000, "rho_g_cm3": 5.818, "e_form_mev_per_atom": 711, "lattice_angstrom": [[4.411, 0.000, 0.000], [0.000, 4.411, 0.000], [0.000, 0.000, 4.411]], "species": ["Y", "Cr", "Cr", "Cr", "Fe"], "fractional_positions": [[0.500, 0.500, 0.500], [0.000, 0.500, 0.000], [0.000, 0.000, 0.500], [0.500, 0.000, 0.000], [0.000, 0.000, 0.000]]}

***

{"formula": "Y4Cr8Fe", "functional": "PBE", "state": "relaxed", "rho_g_cm3": 5.879, "e_form_mev_per_atom": 699, "lattice_angstrom": [[7.017, 0.124, 0.000], [-4.818, 5.103, 0.000], [-1.099, -2.613, 6.420]], "species": ["Y", "Y", "Y", "Y", "Cr", "Cr", "Cr", "Cr", "Cr", "Cr", "Cr", "Cr", "Fe"], "fractional_positions": [[0.680, 0.000, 0.680], [0.320, 0.000, 0.320], [0.000, 0.680, 0.680], [0.000, 0.320, 0.320], [0.500, 0.328, 0.828], [0.500, 0.672, 0.172], [0.672, 0.500, 0.172], [0.328, 0.500, 0.828], [0.500, 0.500, 0.500], [0.000, 0.000, 0.500], [0.000, 0.500, 0.000], [0.500, 0.000, 0.000], [0.000, 0.000, 0.000]]}

***

{"formula": "YCrFe2", "functional": "PBE", "state": "relaxed", "relative_energy_ev_per_atom": 0.257, "rho_g_cm3": 6.706, "e_form_mev_per_atom": 400, "lattice_angstrom": [[-0.996, -4.009, -1.670], [1.205, -3.688, 2.190], [-3.092, -2.530, 1.973]], "species": ["Cr", "Fe", "Fe", "Y"], "fractional_positions": [[0.500, 0.500, 0.500], [0.000, 0.000, 0.000], [0.250, 0.250, 0.250], [0.750, 0.750, 0.750]]}

***

Ordered DOS at the Fermi energy results: 1.5485; 1.0506; 1.1495; 1.0579; 1.1695; 1.2028; unit states/eV/atom.